Below is an optimized crystal structure of NdDy3Y7, with properties calculated at the PBE level.

## Properties
- Energy of formation: 0.14 eV per atom
- Total magnetization: 0.00 μB per atom
- Raw total energy: -5.66 eV per atom
- Polymorph energy (0 for the lowest one): 0.000 eV/atom

a b c (Å): 8.893 10.000 5.571
angles (deg): 90.01 128.78 104.92
Sites, in units of the cell vectors:
Y 0.075 0.169 0.075
Y 0.352 0.712 0.852
Y 0.822 0.640 0.322
Y 0.500 0.000 0.500
Y 0.925 0.831 0.925
Y 0.178 0.360 0.678
Y 0.648 0.288 0.148
Dy 0.223 0.004 0.723
Dy 0.777 0.996 0.277
Dy 0.000 0.500 0.000
Nd 0.500 0.500 0.500